# GGA+U Cs2MnCl2F2, relaxed
# Energy, eV per atom: -4.589
# V, Å³ per cell: 371
data_Cs2MnCl2F2
_chemical_formula_sum 'Cs4 Mn2 Cl4 F4'
_cell_length_a 4.724
_cell_length_b 4.724
_cell_length_c 16.619
_cell_angle_alpha 90.00
_cell_angle_beta 90.00
_cell_angle_gamma 90.00
_symmetry_space_group_name_H-M 'I 4/m m m'
_symmetry_Int_Tables_number 139
_symmetry_space_group_name_Hall '-I 4 2'
loop_
_atom_site_label
_atom_site_type_symbol
_atom_site_fract_x
_atom_site_fract_y
_atom_site_fract_z
Cs1 Cs 0.000 0.000 0.128
Mn1 Mn 0.000 0.000 0.500
Cl1 Cl 0.000 0.000 0.350
F1 F 0.000 0.500 0.000